[1]
## LiTmCu (GGA-PBE)

Data for crystalline LiTmCu at its relaxed geometry.

Values from the calculation:
Its space-group type is F-43m. The total magnetic moment is 0.00 μB/atom. As for the crystal system: cubic. The electronic total energy is -2.869 eV/atom. For the density, the calculation gives 6.02 Mg/m³.

a b c (Å): 4.538 4.538 4.538
angles (deg): 60.00 60.00 60.00
Atoms (fractional coordinates):
Cu: 0.250 0.250 0.250
Li: 0.750 0.750 0.750
Tm: 0.000 0.000 0.000

[2]
## LiUCu (GGA-PBE)

Data for crystalline LiUCu at its relaxed geometry.

Values from the calculation:
Its space-group type is F-43m. The total magnetic moment is 1.11 μB/atom. As for the crystal system: cubic. The electronic total energy is -3.845 eV/atom. For the energy above the most stable polymorph in this dataset, the calculation gives 746 meV per atom. For the density, the calculation gives 7.62 Mg/m³.

a b c (Å): 4.564 4.564 4.564
angles (deg): 60.00 60.00 60.00
Atoms (fractional coordinates):
Cu: 0.250 0.250 0.250
Li: 0.750 0.750 0.750
U: 0.000 0.000 0.000

[3]
## LiUCu (GGA-PBE)

Data for crystalline LiUCu at its relaxed geometry.

Values from the calculation:
Its space-group type is F-43m. The total magnetic moment is 1.34 μB/atom. As for the crystal system: cubic. The electronic total energy is -4.591 eV/atom. For the energy above the most stable polymorph in this dataset, the calculation gives 0 meV per atom. For the density, the calculation gives 8.85 Mg/m³.

a b c (Å): 4.342 4.342 4.342
angles (deg): 60.00 60.00 60.00
Site moments in Bohr magnetons follow the coordinates.
Atoms (fractional coordinates):
Cu: 0.500 0.500 0.500  0.11
Li: 0.250 0.250 0.250  0.19
U: 0.000 0.000 0.000  2.97

[4]
## LiZnCuW (GGA-PBE)

Data for crystalline LiZnCuW at its relaxed geometry.

Values from the calculation:
Its space-group type is F-43m. The total magnetic moment is 0.35 μB/atom. As for the crystal system: cubic. The electronic total energy is -4.406 eV/atom. For the energy above the most stable polymorph in this dataset, the calculation gives 0 meV per atom. For the density, the calculation gives 10.05 Mg/m³.

a b c (Å): 4.212 4.212 4.212
angles (deg): 60.00 60.00 60.00
Atoms (fractional coordinates):
Cu: 0.750 0.750 0.750
Li: 0.250 0.250 0.250
W: 0.500 0.500 0.500
Zn: 0.000 0.000 0.000

[5]
## LiZnCuW (GGA-PBE)

Data for crystalline LiZnCuW at its relaxed geometry.

Values from the calculation:
Its space-group type is F-43m. The total magnetic moment is 0.29 μB/atom. As for the crystal system: cubic. The electronic total energy is -4.342 eV/atom. For the energy above the most stable polymorph in this dataset, the calculation gives 64 meV per atom. For the density, the calculation gives 9.94 Mg/m³.

a b c (Å): 4.227 4.227 4.227
angles (deg): 60.00 60.00 60.00
Atoms (fractional coordinates):
Cu: 0.750 0.750 0.750
Li: 0.500 0.500 0.500
W: 0.250 0.250 0.250
Zn: 0.000 0.000 0.000

[6]
## LiZn2Cu (GGA-PBE)

Data for crystalline LiZn2Cu at its relaxed geometry.

Values from the calculation:
Its space-group type is Pnma. As for the crystal system: orthorhombic. The electronic total energy is -2.147 eV/atom. For the density, the calculation gives 5.52 Mg/m³.

a b c (Å): 4.745 7.157 7.134
angles (deg): 90.00 90.00 90.00
Atoms (fractional coordinates):
Cu: 0.109 0.750 0.122
Cu: 0.609 0.250 0.378
Cu: 0.391 0.750 0.622
Cu: 0.891 0.250 0.878
Li: 0.393 0.250 0.037
Li: 0.893 0.750 0.463
Li: 0.107 0.250 0.537
Li: 0.607 0.750 0.963
Zn: 0.912 0.060 0.174
Zn: 0.912 0.440 0.174
Zn: 0.412 0.560 0.326
Zn: 0.412 0.940 0.326
Zn: 0.588 0.060 0.674
Zn: 0.588 0.440 0.674
Zn: 0.088 0.560 0.826
Zn: 0.088 0.940 0.826

[7]
## LiZn2Cu (GGA-PBE)

Data for crystalline LiZn2Cu at its relaxed geometry.

Values from the calculation:
Its space-group type is P4/mmm. As for the crystal system: tetragonal. The electronic total energy is -2.181 eV/atom. For the density, the calculation gives 6.33 Mg/m³.

a b c (Å): 3.979 3.979 3.336
angles (deg): 90.00 90.00 90.00
Atoms (fractional coordinates):
Cu: 0.500 0.500 0.000
Li: 0.000 0.000 0.000
Zn: 0.500 0.000 0.500
Zn: 0.000 0.500 0.500

[8]
## LiZn2Cu2 (GGA-PBE)

Data for crystalline LiZn2Cu2 at its relaxed geometry.

Values from the calculation:
Its space-group type is P4/mbm. As for the crystal system: tetragonal. The electronic total energy is -2.500 eV/atom. For the density, the calculation gives 6.33 Mg/m³.

a b c (Å): 7.194 7.194 2.683
angles (deg): 90.00 90.00 90.00
Atoms (fractional coordinates):
Cu: 0.626 0.126 0.000
Cu: 0.126 0.374 0.000
Cu: 0.874 0.626 0.000
Cu: 0.374 0.874 0.000
Li: 0.000 0.000 0.000
Li: 0.500 0.500 0.000
Zn: 0.328 0.172 0.500
Zn: 0.828 0.328 0.500
Zn: 0.172 0.672 0.500
Zn: 0.672 0.828 0.500

[9]
## LiZn2Cu5 (GGA-PBE)

Data for crystalline LiZn2Cu5 at its relaxed geometry.

Values from the calculation:
Its space-group type is P4/mmm. As for the crystal system: tetragonal. The electronic total energy is -2.948 eV/atom. For the density, the calculation gives 7.74 Mg/m³.

a b c (Å): 4.103 4.103 5.810
angles (deg): 90.00 90.00 90.00
Atoms (fractional coordinates):
Cu: 0.500 0.000 0.248
Cu: 0.000 0.500 0.248
Cu: 0.000 0.000 0.500
Cu: 0.500 0.000 0.752
Cu: 0.000 0.500 0.752
Li: 0.500 0.500 0.000
Zn: 0.000 0.000 0.000
Zn: 0.500 0.500 0.500

[10]
## Li2ZnCu (GGA-PBE)

Data for crystalline Li2ZnCu at its relaxed geometry.

Values from the calculation:
Its space-group type is P-4m2. As for the crystal system: tetragonal. The electronic total energy is -2.335 eV/atom. For the density, the calculation gives 4.54 Mg/m³.

a b c (Å): 4.193 4.193 5.938
angles (deg): 90.00 90.00 90.00
Atoms (fractional coordinates):
Cu: 0.500 0.500 0.000
Cu: 0.000 0.000 0.500
Li: 0.000 0.000 0.000
Li: 0.000 0.500 0.250
Li: 0.500 0.500 0.500
Li: 0.500 0.000 0.750
Zn: 0.500 0.000 0.249
Zn: 0.000 0.500 0.751

[11]
## LiZn2Cu5 (GGA-PBE)

Data for crystalline LiZn2Cu5 at its relaxed geometry.

Values from the calculation:
Its space-group type is P4/mmm. As for the crystal system: tetragonal. The electronic total energy is -2.948 eV/atom. For the density, the calculation gives 7.74 Mg/m³.

a b c (Å): 4.103 4.103 5.809
angles (deg): 90.00 90.00 90.00
Atoms (fractional coordinates):
Cu: 0.500 0.500 0.000
Cu: 0.500 0.000 0.252
Cu: 0.000 0.500 0.252
Cu: 0.500 0.000 0.748
Cu: 0.000 0.500 0.748
Li: 0.000 0.000 0.500
Zn: 0.000 0.000 0.000
Zn: 0.500 0.500 0.500

[12]
## Li2ZnCu (GGA-PBE)

Data for crystalline Li2ZnCu at its relaxed geometry.

Values from the calculation:
Its space-group type is F-43m. As for the crystal system: cubic. The electronic total energy is -2.338 eV/atom. For the density, the calculation gives 4.46 Mg/m³.

a b c (Å): 4.221 4.221 4.221
angles (deg): 60.00 60.00 60.00
Atoms (fractional coordinates):
Cu: 0.250 0.250 0.250
Li: 0.000 0.000 0.000
Li: 0.750 0.750 0.750
Zn: 0.500 0.500 0.500